A plane-wave DFT calculation with GGA-PBE was carried out for an optimized crystal structure of Rb3I2Br.

Cell lengths 5.1220, 7.3355, 15.6489 Å; angles 90.00, 90.00, 90.00 degrees
Last column: nearest neighbours and their distance in Å.
Space group Immm (No. 71)
Unique sites:
1 Rb 0.0000 0.0000 0.0000 (multiplicity 2)  2 Br 3.67, 4 I 3.69
2 Rb 0.0000 0.0000 0.3443 (multiplicity 4)  2 Br 3.53, 4 I 3.67-3.75
3 I 0.0000 0.5000 0.3306 (multiplicity 4)  6 Rb 3.67-3.75
4 Br 0.0000 0.5000 0.0000 (multiplicity 2)  6 Rb 3.53-3.67

Computed properties:
The calculation puts the energy relative to the elements, uncorrected at -1576 meV per atom. For the density, the calculation gives 3.333 g cm⁻³. The density of states at the Fermi level comes out at 0.000 states/eV per cell. The raw total energy is -34.26 eV for the cell shown. The calculation puts the magnetization at 0.00 μB/f.u.